(1)
# PBE LuAgGeO3, relaxed
# - energy (Ry per atom) = -0.4579
# - total magnetic moment (μB per formula unit) = 0.0
data_LuAgGeO3
_chemical_formula_sum 'Lu4 Ag4 Ge4 O12'
_space_group_name_H-M_alt 'C m c m'
_space_group_IT_number 63
_space_group_name_Hall '-C 2c 2'
_cell_length_a 2.974
_cell_length_b 16.174
_cell_length_c 6.580
_cell_angle_alpha 90.00
_cell_angle_beta 90.00
_cell_angle_gamma 90.00
loop_
_atom_site_label
_atom_site_fract_x
_atom_site_fract_y
_atom_site_fract_z
Lu1 0.000 0.000 0.000
Ag1 0.000 0.316 0.250
Ge1 0.000 0.323 0.750
O1 0.000 0.131 0.061
O2 0.000 0.487 0.250

(2)
# PBE LuAgGeSe2S, relaxed
# - energy (Ry per atom) = -0.3370
# - total magnetic moment (μB per formula unit) = 0.0
data_LuAgGeSe2S
_chemical_formula_sum 'Lu4 Ag4 Ge4 Se8 S4'
_space_group_name_H-M_alt 'C m c m'
_space_group_IT_number 63
_space_group_name_Hall '-C 2c 2'
_cell_length_a 4.007
_cell_length_b 13.152
_cell_length_c 10.182
_cell_angle_alpha 90.00
_cell_angle_beta 90.00
_cell_angle_gamma 90.00
loop_
_atom_site_label
_atom_site_fract_x
_atom_site_fract_y
_atom_site_fract_z
Lu1 0.000 0.000 0.000
Ag1 0.000 0.470 0.250
Ge1 0.000 0.270 0.750
Se1 0.000 0.352 0.049
S1 0.000 0.097 0.250

(3)
# PBE LuAgGeSeS2, relaxed
# - energy (Ry per atom) = -0.3469
# - total magnetic moment (μB per formula unit) = 0.0
data_LuAgGeSeS2
_chemical_formula_sum 'Lu4 Ag4 Ge4 Se4 S8'
_space_group_name_H-M_alt 'C m c m'
_space_group_IT_number 63
_space_group_name_Hall '-C 2c 2'
_cell_length_a 3.853
_cell_length_b 12.838
_cell_length_c 10.830
_cell_angle_alpha 90.00
_cell_angle_beta 90.00
_cell_angle_gamma 90.00
loop_
_atom_site_label
_atom_site_fract_x
_atom_site_fract_y
_atom_site_fract_z
Lu1 0.000 0.000 0.000
Ag1 0.000 0.442 0.250
Ge1 0.000 0.253 0.750
Se1 0.000 0.103 0.250
S1 0.000 0.362 0.048

(4)
# PBE LuAgGeTeS2, relaxed
# - energy (Ry per atom) = -0.3370
# - total magnetic moment (μB per formula unit) = 0.0
data_LuAgGeTeS2
_chemical_formula_sum 'Lu4 Ag4 Ge4 Te4 S8'
_space_group_name_H-M_alt 'C m c m'
_space_group_IT_number 63
_space_group_name_Hall '-C 2c 2'
_cell_length_a 3.905
_cell_length_b 13.195
_cell_length_c 11.140
_cell_angle_alpha 90.00
_cell_angle_beta 90.00
_cell_angle_gamma 90.00
loop_
_atom_site_label
_atom_site_fract_x
_atom_site_fract_y
_atom_site_fract_z
Lu1 0.000 0.000 0.000
Ag1 0.000 0.474 0.250
Ge1 0.000 0.208 0.750
Te1 0.000 0.129 0.250
S1 0.000 0.370 0.063